First-principles (PBE) data for TiAl2Rh2 after structural relaxation, as listed in Alexandria via LeMat-Bulk.

Cell lengths 7.2111, 7.2111, 2.8792 Å; angles 90.00, 90.00, 90.00 degrees
Last column: nearest neighbours and their distance in Å.
Space group P4/mbm (No. 127)
Symmetry-distinct sites (fractional):
Ti: 0.0000 0.0000 0.0000 x2  4 Rh 2.75, 2 Ti 2.88
Al: 0.1472 0.3528 0.5000 x4  6 Rh 2.52-2.58
Rh: 0.1499 0.6499 0.0000 x4  6 Al 2.52-2.58, 2 Ti 2.75

Output
**Uncorrected energy**: -67.82 eV/cell
**DOS(E_F)**: 7.46 states/eV/cell
**E above lowest polymorph**: 5 meV/atom
**Crystal system**: tetragonal